Entry 1:
CePrSmLu: relaxed, GGA-PBE.

Geometry as CIF:
```
data_CePrSmLu
_symmetry_space_group_name_H-M 'F -4 3 m'
_symmetry_Int_Tables_number 216
_symmetry_space_group_name_Hall 'F -4 2 3'
_cell_length_a 8.0952
_cell_length_b 8.0952
_cell_length_c 8.0952
_cell_angle_alpha 90.00
_cell_angle_beta 90.00
_cell_angle_gamma 90.00
loop_
_atom_site_label
_atom_site_fract_x
_atom_site_fract_y
_atom_site_fract_z
Ce1 0.0000 0.0000 0.0000
Pr1 0.2500 0.2500 0.2500
Sm1 0.2500 0.2500 0.7500
Lu1 0.0000 0.0000 0.5000
```

Summary:
Formation energy from the elements (eV/atom): 0.197



Entry 2:
TbCePrLu: relaxed, GGA-PBE.

Geometry as CIF:
```
data_TbCePrLu
_symmetry_space_group_name_H-M 'F -4 3 m'
_symmetry_Int_Tables_number 216
_symmetry_space_group_name_Hall 'F -4 2 3'
_cell_length_a 8.0598
_cell_length_b 8.0598
_cell_length_c 8.0598
_cell_angle_alpha 90.00
_cell_angle_beta 90.00
_cell_angle_gamma 90.00
loop_
_atom_site_label
_atom_site_fract_x
_atom_site_fract_y
_atom_site_fract_z
Tb1 0.0000 0.0000 0.0000
Ce1 0.2500 0.2500 0.2500
Pr1 0.0000 0.0000 0.5000
Lu1 0.2500 0.2500 0.7500
```

Summary:
Formation energy from the elements (eV/atom): 0.197



Entry 3:
Ce2LuPt: relaxed, GGA-PBE.

Geometry as CIF:
```
data_Ce2LuPt
_symmetry_space_group_name_H-M 'P 4/m m m'
_symmetry_Int_Tables_number 123
_symmetry_space_group_name_Hall '-P 4 2'
_cell_length_a 3.7784
_cell_length_b 3.7784
_cell_length_c 7.3122
_cell_angle_alpha 90.00
_cell_angle_beta 90.00
_cell_angle_gamma 90.00
loop_
_atom_site_label
_atom_site_fract_x
_atom_site_fract_y
_atom_site_fract_z
Ce1 0.0000 0.0000 0.2005
Lu1 0.5000 0.5000 0.5000
Pt1 0.5000 0.5000 0.0000
```

Summary:
Formation energy from the elements (eV/atom): -0.437



Entry 4:
CeLuPt2: relaxed, GGA-PBE.

Geometry as CIF:
```
data_CeLuPt2
_symmetry_space_group_name_H-M 'P 4/m m m'
_symmetry_Int_Tables_number 123
_symmetry_space_group_name_Hall '-P 4 2'
_cell_length_a 4.9935
_cell_length_b 4.9935
_cell_length_c 3.4349
_cell_angle_alpha 90.00
_cell_angle_beta 90.00
_cell_angle_gamma 90.00
loop_
_atom_site_label
_atom_site_fract_x
_atom_site_fract_y
_atom_site_fract_z
Ce1 0.0000 0.0000 0.0000
Lu1 0.5000 0.5000 0.0000
Pt1 0.0000 0.5000 0.5000
```

Summary:
Formation energy from the elements (eV/atom): -1.124



Entry 5:
Ce2LuPt: relaxed, GGA-PBE.

Geometry as CIF:
```
data_Ce2LuPt
_symmetry_space_group_name_H-M 'R -3 m'
_symmetry_Int_Tables_number 166
_symmetry_space_group_name_Hall '-R 3 2"'
_cell_length_a 3.5876
_cell_length_b 3.5876
_cell_length_c 31.0912
_cell_angle_alpha 90.00
_cell_angle_beta 90.00
_cell_angle_gamma 120.00
loop_
_atom_site_label
_atom_site_fract_x
_atom_site_fract_y
_atom_site_fract_z
Ce1 0.0000 0.0000 0.1025
Lu1 0.0000 0.0000 0.0000
Pt1 0.0000 0.0000 0.5000
```

Summary:
Formation energy from the elements (eV/atom): -0.164



Entry 6:
CeLuPt4: relaxed, GGA-PBE.

Geometry as CIF:
```
data_CeLuPt4
_symmetry_space_group_name_H-M 'F -4 3 m'
_symmetry_Int_Tables_number 216
_symmetry_space_group_name_Hall 'F -4 2 3'
_cell_length_a 7.6940
_cell_length_b 7.6940
_cell_length_c 7.6940
_cell_angle_alpha 90.00
_cell_angle_beta 90.00
_cell_angle_gamma 90.00
loop_
_atom_site_label
_atom_site_fract_x
_atom_site_fract_y
_atom_site_fract_z
Ce1 0.0000 0.0000 0.0000
Lu1 0.2500 0.2500 0.7500
Pt1 0.1246 0.1246 0.3754
```

Summary:
Formation energy from the elements (eV/atom): -1.077



Entry 7:
CeLuPt: relaxed, GGA-PBE.

Geometry as CIF:
```
data_CeLuPt
_symmetry_space_group_name_H-M 'F -4 3 m'
_symmetry_Int_Tables_number 216
_symmetry_space_group_name_Hall 'F -4 2 3'
_cell_length_a 6.8879
_cell_length_b 6.8879
_cell_length_c 6.8879
_cell_angle_alpha 90.00
_cell_angle_beta 90.00
_cell_angle_gamma 90.00
loop_
_atom_site_label
_atom_site_fract_x
_atom_site_fract_y
_atom_site_fract_z
Ce1 0.0000 0.0000 0.0000
Lu1 0.0000 0.0000 0.5000
Pt1 0.2500 0.2500 0.7500
```

Summary:
Formation energy from the elements (eV/atom): -0.722



Entry 8:
CeLuPt: relaxed, GGA-PBE.

Geometry as CIF:
```
data_CeLuPt
_symmetry_space_group_name_H-M 'P 3 m 1'
_symmetry_Int_Tables_number 156
_symmetry_space_group_name_Hall 'P 3 -2"'
_cell_length_a 4.6350
_cell_length_b 4.6350
_cell_length_c 4.1049
_cell_angle_alpha 90.00
_cell_angle_beta 90.00
_cell_angle_gamma 120.00
loop_
_atom_site_label
_atom_site_fract_x
_atom_site_fract_y
_atom_site_fract_z
Ce1 0.0000 0.0000 0.0000
Lu1 0.3333 0.6667 0.4794
Pt1 0.6667 0.3333 0.6642
```

Summary:
Formation energy from the elements (eV/atom): -0.601



Entry 9:
CeLuPt2: relaxed, GGA-PBE.

Geometry as CIF:
```
data_CeLuPt2
_symmetry_space_group_name_H-M 'P 4/m m m'
_symmetry_Int_Tables_number 123
_symmetry_space_group_name_Hall '-P 4 2'
_cell_length_a 3.4117
_cell_length_b 3.4117
_cell_length_c 7.2915
_cell_angle_alpha 90.00
_cell_angle_beta 90.00
_cell_angle_gamma 90.00
loop_
_atom_site_label
_atom_site_fract_x
_atom_site_fract_y
_atom_site_fract_z
Ce1 0.0000 0.0000 0.0000
Lu1 0.0000 0.0000 0.5000
Pt1 0.5000 0.5000 0.2707
```

Summary:
Formation energy from the elements (eV/atom): -1.144



Entry 10:
CeLuPtRh: relaxed, GGA-PBE.

Geometry as CIF:
```
data_CeLuPtRh
_symmetry_space_group_name_H-M 'F -4 3 m'
_symmetry_Int_Tables_number 216
_symmetry_space_group_name_Hall 'F -4 2 3'
_cell_length_a 6.9446
_cell_length_b 6.9446
_cell_length_c 6.9446
_cell_angle_alpha 90.00
_cell_angle_beta 90.00
_cell_angle_gamma 90.00
loop_
_atom_site_label
_atom_site_fract_x
_atom_site_fract_y
_atom_site_fract_z
Ce1 0.0000 0.0000 0.0000
Lu1 0.0000 0.0000 0.5000
Pt1 0.2500 0.2500 0.2500
Rh1 0.2500 0.2500 0.7500
```

Summary:
Formation energy from the elements (eV/atom): -0.930



Entry 11:
CeLuRuPt: relaxed, GGA-PBE.

Geometry as CIF:
```
data_CeLuRuPt
_symmetry_space_group_name_H-M 'F -4 3 m'
_symmetry_Int_Tables_number 216
_symmetry_space_group_name_Hall 'F -4 2 3'
_cell_length_a 6.8998
_cell_length_b 6.8998
_cell_length_c 6.8998
_cell_angle_alpha 90.00
_cell_angle_beta 90.00
_cell_angle_gamma 90.00
loop_
_atom_site_label
_atom_site_fract_x
_atom_site_fract_y
_atom_site_fract_z
Ce1 0.0000 0.0000 0.0000
Lu1 0.0000 0.0000 0.5000
Ru1 0.2500 0.2500 0.7500
Pt1 0.2500 0.2500 0.2500
```

Summary:
Formation energy from the elements (eV/atom): -0.739



Entry 12:
CeLuSnPt: relaxed, GGA-PBE.

Geometry as CIF:
```
data_CeLuSnPt
_symmetry_space_group_name_H-M 'F -4 3 m'
_symmetry_Int_Tables_number 216
_symmetry_space_group_name_Hall 'F -4 2 3'
_cell_length_a 7.3159
_cell_length_b 7.3159
_cell_length_c 7.3159
_cell_angle_alpha 90.00
_cell_angle_beta 90.00
_cell_angle_gamma 90.00
loop_
_atom_site_label
_atom_site_fract_x
_atom_site_fract_y
_atom_site_fract_z
Ce1 0.0000 0.0000 0.0000
Lu1 0.0000 0.0000 0.5000
Sn1 0.2500 0.2500 0.7500
Pt1 0.2500 0.2500 0.2500
```

Summary:
Formation energy from the elements (eV/atom): -0.743